1.
Computed, not measured: a relaxed Tb3Ho5Th3 crystal at the PBE-GGA level of DFT.

a = 3.544 Å, b = 9.977 Å, c = 11.965 Å
α = 114.64°, β = 81.49°, γ = 110.78°
Atoms (fractional coordinates):
Tb 0.818 0.955 0.000
Tb 0.500 0.248 0.222
Tb 0.500 0.026 0.778
Ho 0.325 0.601 0.281
Ho 0.325 0.321 0.719
Ho 0.181 0.317 0.000
Ho 0.675 0.671 0.718
Ho 0.675 0.953 0.282
Th 0.999 0.636 0.000
Th 0.000 0.895 0.518
Th 0.000 0.378 0.482

Computed properties:
Energy of formation from the pure elements, kJ/mol of atoms: 15.80
E_tot, eV per cell: -57.24
Excess energy over the best structure of this formula in the dataset, eV/atom: 0.000
Symmetry: No. 44

2.
Computed, not measured: a relaxed Tb2Ho8Th crystal at the PBE-GGA level of DFT.

a = 5.008 Å, b = 7.910 Å, c = 9.362 Å
α = 104.66°, β = 105.51°, γ = 90.00°
Atoms (fractional coordinates):
Tb 0.772 0.364 0.544
Tb 0.228 0.636 0.456
Ho 0.410 0.547 0.819
Ho 0.680 0.908 0.361
Ho 0.865 0.820 0.729
Ho 0.955 0.268 0.911
Ho 0.135 0.180 0.271
Ho 0.320 0.092 0.639
Ho 0.590 0.453 0.181
Ho 0.045 0.732 0.089
Th 0.500 0.000 0.000

Computed properties:
Energy of formation from the pure elements, kJ/mol of atoms: 2.58
E_tot, eV per cell: -53.01
Symmetry: No. 12

3.
Computed, not measured: a relaxed TbHo10Th4 crystal at the PBE-GGA level of DFT.

a = 11.390 Å, b = 8.900 Å, c = 8.900 Å
α = 65.83°, β = 50.22°, γ = 50.22°
Atoms (fractional coordinates):
Tb 0.000 0.000 0.000
Ho 0.250 0.500 0.500
Ho 0.717 0.346 0.892
Ho 0.937 0.108 0.346
Ho 0.391 0.892 0.654
Ho 0.955 0.654 0.108
Ho 0.283 0.654 0.108
Ho 0.750 0.500 0.500
Ho 0.045 0.346 0.892
Ho 0.609 0.108 0.346
Ho 0.063 0.892 0.654
Th 0.572 0.591 0.265
Th 0.837 0.735 0.591
Th 0.163 0.265 0.409
Th 0.428 0.409 0.735

Computed properties:
Energy of formation from the pure elements, kJ/mol of atoms: 47.78
E_tot, eV per cell: -72.66
Symmetry: No. 87

4.
Computed, not measured: a relaxed Tb7Ho2Th crystal at the PBE-GGA level of DFT.

a = 3.566 Å, b = 13.792 Å, c = 7.919 Å
α = 106.65°, β = 76.98°, γ = 67.14°
Atoms (fractional coordinates):
Tb 0.002 0.598 0.200
Tb 0.998 0.402 0.800
Tb 0.006 0.198 0.396
Tb 0.994 0.802 0.604
Tb 0.504 0.298 0.099
Tb 0.496 0.702 0.901
Tb 0.500 0.500 0.500
Ho 0.502 0.901 0.293
Ho 0.498 0.099 0.707
Th 0.000 0.000 0.000

Computed properties:
Energy of formation from the pure elements, kJ/mol of atoms: 1.66
E_tot, eV per cell: -48.81
Excess energy over the best structure of this formula in the dataset, eV/atom: 0.000
Symmetry: No. 2

5.
Computed, not measured: a relaxed Tb5Ho2Th5 crystal at the PBE-GGA level of DFT.

a = 5.044 Å, b = 7.935 Å, c = 10.735 Å
α = 72.71°, β = 76.41°, γ = 71.47°
Atoms (fractional coordinates):
Tb 0.500 0.500 0.500
Tb 0.332 0.332 0.005
Tb 0.416 0.921 0.248
Tb 0.584 0.079 0.752
Tb 0.668 0.668 0.995
Ho 0.916 0.417 0.750
Ho 0.084 0.583 0.250
Th 0.831 0.835 0.503
Th 0.250 0.755 0.746
Th 0.750 0.245 0.254
Th 0.169 0.165 0.497
Th 0.000 0.000 0.000

Computed properties:
Energy of formation from the pure elements, kJ/mol of atoms: 4.66
E_tot, eV per cell: -68.83
Symmetry: No. 12

6.
Computed, not measured: a relaxed TbHoTh14 crystal at the PBE-GGA level of DFT.

a = 7.173 Å, b = 7.173 Å, c = 11.578 Å
α = 90.00°, β = 90.00°, γ = 120.03°
Atoms (fractional coordinates):
Tb 0.040 0.960 0.500
Ho 0.540 0.460 0.500
Th 0.208 0.792 0.000
Th 0.708 0.292 0.000
Th 0.043 0.456 0.500
Th 0.208 0.292 0.000
Th 0.544 0.957 0.500
Th 0.708 0.792 0.000
Th 0.375 0.125 0.750
Th 0.375 0.125 0.250
Th 0.875 0.625 0.750
Th 0.875 0.625 0.250
Th 0.375 0.625 0.750
Th 0.375 0.625 0.250
Th 0.875 0.125 0.751
Th 0.875 0.125 0.249

Computed properties:
Energy of formation from the pure elements, kJ/mol of atoms: 3.12
E_tot, eV per cell: -112.57
Symmetry: No. 38

7.
Computed, not measured: a relaxed Tb6Ho4Th crystal at the PBE-GGA level of DFT.

a = 5.743 Å, b = 5.592 Å, c = 25.577 Å
α = 90.00°, β = 90.00°, γ = 120.90°
Atoms (fractional coordinates):
Tb 0.500 0.000 0.000
Tb 0.500 0.000 0.500
Tb 0.128 0.256 0.318
Tb 0.872 0.744 0.682
Tb 0.872 0.744 0.818
Tb 0.128 0.256 0.182
Tb 0.800 0.600 0.399
Tb 0.200 0.400 0.601
Tb 0.200 0.400 0.899
Tb 0.800 0.600 0.101
Tb 0.461 0.922 0.250
Tb 0.539 0.078 0.750
Ho 0.847 0.694 0.542
Ho 0.457 0.915 0.122
Ho 0.153 0.306 0.458
Ho 0.543 0.085 0.878
Ho 0.847 0.694 0.958
Ho 0.153 0.306 0.042
Ho 0.543 0.085 0.622
Ho 0.457 0.915 0.378
Th 0.798 0.595 0.250
Th 0.202 0.405 0.750

Computed properties:
Energy of formation from the pure elements, kJ/mol of atoms: 14.16
E_tot, eV per cell: -103.80
Excess energy over the best structure of this formula in the dataset, eV/atom: 0.000
Symmetry: No. 63

8.
Computed, not measured: a relaxed Tb12Ho5Th crystal at the PBE-GGA level of DFT.

a = 15.067 Å, b = 10.654 Å, c = 5.028 Å
α = 90.00°, β = 90.00°, γ = 45.01°
Atoms (fractional coordinates):
Tb 0.835 0.000 0.500
Tb 0.165 0.000 0.500
Tb 0.666 0.000 0.000
Tb 0.334 0.000 0.000
Tb 0.333 0.667 0.000
Tb 0.000 0.667 0.000
Tb 0.000 0.333 0.000
Tb 0.667 0.333 0.000
Tb 0.499 0.332 0.500
Tb 0.832 0.668 0.500
Tb 0.168 0.332 0.500
Tb 0.501 0.668 0.500
Ho 0.500 0.000 0.500
Ho 0.165 0.670 0.500
Ho 0.835 0.330 0.500
Ho 0.667 0.667 0.000
Ho 0.333 0.333 0.000
Th 0.000 0.000 0.000

Computed properties:
Energy of formation from the pure elements, kJ/mol of atoms: 2.17
E_tot, eV per cell: -85.47
Symmetry: No. 65

9.
Computed, not measured: a relaxed Tb2HoTh5 crystal at the PBE-GGA level of DFT.

a = 5.033 Å, b = 7.136 Å, c = 14.309 Å
α = 90.00°, β = 90.00°, γ = 90.00°
Atoms (fractional coordinates):
Tb 0.500 0.249 0.625
Tb 0.500 0.751 0.375
Tb 0.500 0.251 0.125
Tb 0.500 0.749 0.875
Ho 0.000 0.000 0.500
Ho 0.000 0.500 0.000
Th 0.000 0.000 0.000
Th 0.000 0.500 0.500
Th 0.000 0.498 0.750
Th 0.000 0.502 0.250
Th 0.000 0.002 0.250
Th 0.000 0.998 0.750
Th 0.500 0.245 0.873
Th 0.500 0.755 0.127
Th 0.500 0.255 0.373
Th 0.500 0.745 0.627

Computed properties:
Energy of formation from the pure elements, kJ/mol of atoms: 5.49
E_tot, eV per cell: -100.96
Excess energy over the best structure of this formula in the dataset, eV/atom: 0.000
Symmetry: No. 55

10.
Computed, not measured: a relaxed Tb3HoTh4 crystal at the PBE-GGA level of DFT.

a = 3.429 Å, b = 9.471 Å, c = 9.632 Å
α = 119.44°, β = 100.25°, γ = 90.00°
Atoms (fractional coordinates):
Tb 0.000 0.500 0.000
Tb 0.185 0.185 0.370
Tb 0.815 0.815 0.630
Ho 0.500 0.000 0.000
Th 0.352 0.547 0.703
Th 0.648 0.453 0.297
Th 0.648 0.844 0.296
Th 0.352 0.156 0.704

Computed properties:
Energy of formation from the pure elements, kJ/mol of atoms: 31.41
E_tot, eV per cell: -45.54
Symmetry: No. 71

11.
Computed, not measured: a relaxed TbHo2Th crystal at the PBE-GGA level of DFT.

a = 3.539 Å, b = 6.762 Å, c = 11.597 Å
α = 95.17°, β = 107.78°, γ = 74.72°
Atoms (fractional coordinates):
Tb 0.611 0.313 0.786
Tb 0.902 0.792 0.817
Ho 0.028 0.012 0.553
Ho 0.485 0.093 0.049
Ho 0.756 0.561 0.055
Ho 0.757 0.544 0.547
Th 0.145 0.308 0.317
Th 0.368 0.797 0.285

Computed properties:
Energy of formation from the pure elements, kJ/mol of atoms: 3.41
E_tot, eV per cell: -42.13
Excess energy over the best structure of this formula in the dataset, eV/atom: 0.029
Symmetry: No. 2

12.
Computed, not measured: a relaxed Tb3Ho4Th2 crystal at the PBE-GGA level of DFT.

a = 5.037 Å, b = 7.919 Å, c = 7.951 Å
α = 107.43°, β = 108.47°, γ = 90.00°
Atoms (fractional coordinates):
Tb 0.887 0.326 0.774
Tb 0.113 0.674 0.226
Tb 0.000 0.000 0.000
Ho 0.555 0.332 0.111
Ho 0.778 0.672 0.556
Ho 0.445 0.668 0.889
Ho 0.222 0.328 0.444
Th 0.332 0.000 0.664
Th 0.668 0.000 0.336

Computed properties:
Energy of formation from the pure elements, kJ/mol of atoms: 2.91
E_tot, eV per cell: -46.77
Excess energy over the best structure of this formula in the dataset, eV/atom: 0.032
Symmetry: No. 12